A PBEsol-optimized structure of Zn22Cu, computed with SCAN.

Summary:
ρ, Mg/m³: 7.53
Total energy, eV per atom: -13.5015
DOS(E_F), states/eV/cell: 38.9

a b c (Å): 13.8383 13.8383 13.8383
angles (deg): 90.00 90.00 90.00
With the nearest neighbours (Å) after each atom.
Space group Fd-3m (No. 227, origin choice 2)
Asymmetric unit:
1 Zn 0.0000 0.0000 0.0000 (multiplicity 16)  6 Zn 2.46
2 Zn 0.0000 0.0000 0.5000 (multiplicity 16)  12 Zn 2.89, 2 Cu 3.00
3 Zn 0.0176 0.3750 0.3750 (multiplicity 48)  4 Zn 2.46-2.59
4 Zn 0.0622 0.0622 0.8175 (multiplicity 96)  4 Zn 2.46-2.59
5 Cu 0.1250 0.1250 0.6250 (multiplicity 8)  16 Zn 2.93-3.00